First-principles (PBE-GGA) data for an optimized crystal structure of KAl2Ru, as listed in Alexandria via LeMat-Bulk.

Computed properties:
Total moment, μB per formula unit: 0.00
Energy relative to the elements, eV per atom: 0.143
Crystal system: monoclinic
ΔE to the lowest computed polymorph, meV/atom: 247

Cell and atoms, written as CIF:
```
data_KAl2Ru
_chemical_formula_sum 'K2 Al4 Ru2'
_cell_length_a 8.712
_cell_length_b 3.117
_cell_length_c 7.742
_cell_angle_alpha 90.00
_cell_angle_beta 105.72
_cell_angle_gamma 90.00
_space_group_name_H-M_alt 'C 1 m 1'
_space_group_IT_number 8
loop_
_space_group_symop_operation_xyz
'x,y,z'
'x,-y,z'
'x+1/2,y+1/2,z'
'x+1/2,-y+1/2,z'
loop_
_atom_site_label
_atom_site_type_symbol
_atom_site_fract_x
_atom_site_fract_y
_atom_site_fract_z
K1 K 0.000 0.000 0.000
Al1 Al 0.093 0.500 0.604
Al2 Al 0.310 0.500 0.365
Ru1 Ru 0.314 0.000 0.608
```

=====

First-principles (PBE-GGA) data for an optimized crystal structure of KAl2Ru, as listed in Alexandria via LeMat-Bulk.

Computed properties:
Total moment, μB per formula unit: 0.00
Energy relative to the elements, eV per atom: 0.665
Crystal system: tetragonal
ΔE to the lowest computed polymorph, meV/atom: 769

Cell and atoms, written as CIF:
```
data_KAl2Ru
_chemical_formula_sum 'K1 Al2 Ru1'
_cell_length_a 4.913
_cell_length_b 4.913
_cell_length_c 3.036
_cell_angle_alpha 90.00
_cell_angle_beta 90.00
_cell_angle_gamma 90.00
_space_group_name_H-M_alt 'P 4/m m m'
_space_group_IT_number 123
_space_group_name_Hall '-P 4 2'
loop_
_atom_site_label
_atom_site_type_symbol
_atom_site_fract_x
_atom_site_fract_y
_atom_site_fract_z
K1 K 0.000 0.000 0.000
Al1 Al 0.000 0.500 0.500
Ru1 Ru 0.500 0.500 0.000
```

=====

First-principles (PBE-GGA) data for an optimized crystal structure of KAlRu, as listed in Alexandria via LeMat-Bulk.

Computed properties:
Total moment, μB per formula unit: 0.00
Energy relative to the elements, eV per atom: 0.976
Crystal system: cubic
ΔE to the lowest computed polymorph, meV/atom: 803

Cell and atoms, written as CIF:
```
data_KAlRu
_chemical_formula_sum 'K4 Al4 Ru4'
_cell_length_a 6.453
_cell_length_b 6.453
_cell_length_c 6.453
_cell_angle_alpha 90.00
_cell_angle_beta 90.00
_cell_angle_gamma 90.00
_space_group_name_H-M_alt 'F -4 3 m'
_space_group_IT_number 216
_space_group_name_Hall 'F -4 2 3'
loop_
_atom_site_label
_atom_site_type_symbol
_atom_site_fract_x
_atom_site_fract_y
_atom_site_fract_z
K1 K 0.000 0.000 0.000
Al1 Al 0.000 0.000 0.500
Ru1 Ru 0.250 0.250 0.750
```

=====

First-principles (PBE-GGA) data for an optimized crystal structure of KAl2Ru, as listed in Alexandria via LeMat-Bulk.

Computed properties:
Total moment, μB per formula unit: 0.00
Energy relative to the elements, eV per atom: 0.733
Crystal system: tetragonal
ΔE to the lowest computed polymorph, meV/atom: 838

Cell and atoms, written as CIF:
```
data_KAl2Ru
_chemical_formula_sum 'K2 Al4 Ru2'
_cell_length_a 4.727
_cell_length_b 4.727
_cell_length_c 6.669
_cell_angle_alpha 90.00
_cell_angle_beta 90.00
_cell_angle_gamma 90.00
_space_group_name_H-M_alt 'I -4 m 2'
_space_group_IT_number 119
_space_group_name_Hall 'I -4 -2'
loop_
_atom_site_label
_atom_site_type_symbol
_atom_site_fract_x
_atom_site_fract_y
_atom_site_fract_z
K1 K 0.000 0.000 0.000
Al1 Al 0.000 0.000 0.500
Al2 Al 0.000 0.500 0.750
Ru1 Ru 0.000 0.500 0.250
```

=====

In order of appearance, E = -4.3218, -3.7997, -3.7288, -3.7315 eV/atom.